# Sn2PdPb | Alexandria | PBE | relaxed
data_Sn2PdPb
_space_group_name_H-M_alt 'I -4 2 d'
_space_group_IT_number 122
_space_group_name_Hall 'I -4 2bw'
_cell_length_a 5.0680
_cell_length_b 5.0680
_cell_length_c 17.6805
_cell_angle_alpha 90.00
_cell_angle_beta 90.00
_cell_angle_gamma 90.00
loop_
_atom_site_label
_atom_site_fract_x
_atom_site_fract_y
_atom_site_fract_z
_atom_site_occupancy
Sn1 0.1657 0.2500 0.1250 1
Pd1 0.0000 0.0000 0.0000 1
Pb1 0.0000 0.0000 0.5000 1
# **VASP energy**: -4.241 eV/atom



# Sn4Pd15Pb | Alexandria | PBE | relaxed
data_Sn4Pd15Pb
_space_group_name_H-M_alt 'P 4/m m m'
_space_group_IT_number 123
_space_group_name_Hall '-P 4 2'
_cell_length_a 4.0520
_cell_length_b 4.0520
_cell_length_c 20.2927
_cell_angle_alpha 90.00
_cell_angle_beta 90.00
_cell_angle_gamma 90.00
loop_
_atom_site_label
_atom_site_fract_x
_atom_site_fract_y
_atom_site_fract_z
_atom_site_occupancy
Sn1 0.0000 0.0000 0.0992 1
Sn2 0.0000 0.0000 0.2976 1
Pd1 0.0000 0.5000 0.0000 1
Pd2 0.0000 0.5000 0.1985 1
Pd3 0.0000 0.5000 0.3961 1
Pd4 0.5000 0.5000 0.0992 1
Pd5 0.5000 0.5000 0.2976 1
Pd6 0.5000 0.5000 0.5000 1
Pb1 0.0000 0.0000 0.5000 1
# **VASP energy**: -5.345 eV/atom



# Sn6Pd12Pb | Alexandria | PBE | relaxed
data_Sn6Pd12Pb
_space_group_name_H-M_alt 'R -3 m'
_space_group_IT_number 166
_space_group_name_Hall '-R 3 2"'
_cell_length_a 12.3520
_cell_length_b 12.3520
_cell_length_c 8.4181
_cell_angle_alpha 90.00
_cell_angle_beta 90.00
_cell_angle_gamma 120.00
loop_
_atom_site_label
_atom_site_fract_x
_atom_site_fract_y
_atom_site_fract_z
_atom_site_occupancy
Sn1 0.0513 0.5256 0.2450 1
Pd1 0.0000 0.3803 0.5000 1
Pd2 0.0800 0.1599 0.2951 1
Pb1 0.0000 0.0000 0.0000 1
# **VASP energy**: -5.106 eV/atom



# SnPdPb | Alexandria | PBE | relaxed
data_SnPdPb
_space_group_name_H-M_alt 'I 4 m m'
_space_group_IT_number 107
_space_group_name_Hall 'I 4 -2'
_cell_length_a 3.3501
_cell_length_b 3.3501
_cell_length_c 12.6860
_cell_angle_alpha 90.00
_cell_angle_beta 90.00
_cell_angle_gamma 90.00
loop_
_atom_site_label
_atom_site_fract_x
_atom_site_fract_y
_atom_site_fract_z
_atom_site_occupancy
Sn1 0.0000 0.0000 0.0000 1
Pd1 0.0000 0.0000 0.3770 1
Pb1 0.0000 0.0000 0.7249 1
# **VASP energy**: -4.512 eV/atom



# SnPdPb | Alexandria | PBE | relaxed
data_SnPdPb
_space_group_name_H-M_alt 'R -3 m'
_space_group_IT_number 166
_space_group_name_Hall '-R 3 2"'
_cell_length_a 4.5316
_cell_length_b 4.5316
_cell_length_c 25.9982
_cell_angle_alpha 90.00
_cell_angle_beta 90.00
_cell_angle_gamma 120.00
loop_
_atom_site_label
_atom_site_fract_x
_atom_site_fract_y
_atom_site_fract_z
_atom_site_occupancy
Sn1 0.0000 0.0000 0.2068 1
Pd1 0.0000 0.0000 0.1004 1
Pb1 0.0000 0.0000 0.3787 1
# **VASP energy**: -4.550 eV/atom



# SnPd5Pb | Alexandria | PBE | relaxed
data_SnPd5Pb
_space_group_name_H-M_alt 'P 4/m m m'
_space_group_IT_number 123
_space_group_name_Hall '-P 4 2'
_cell_length_a 4.1378
_cell_length_b 4.1378
_cell_length_c 7.4790
_cell_angle_alpha 90.00
_cell_angle_beta 90.00
_cell_angle_gamma 90.00
loop_
_atom_site_label
_atom_site_fract_x
_atom_site_fract_y
_atom_site_fract_z
_atom_site_occupancy
Sn1 0.0000 0.0000 0.0000 1
Pd1 0.0000 0.0000 0.5000 1
Pd2 0.0000 0.5000 0.2274 1
Pb1 0.5000 0.5000 0.5000 1
# **Polymorph energy (0 for the lowest one)**: 0.000 eV/atom



# SnPd6Pb3 | Alexandria | PBE | relaxed
data_SnPd6Pb3
_space_group_name_H-M_alt 'C m c 21'
_space_group_IT_number 36
_cell_length_a 8.4681
_cell_length_b 13.8005
_cell_length_c 7.0435
_cell_angle_alpha 90.00
_cell_angle_beta 90.00
_cell_angle_gamma 90.00
loop_
_space_group_symop_operation_xyz
'x,y,z'
'-x,-y,z+1/2'
'-x,y,z'
'x,-y,z+1/2'
'x+1/2,y+1/2,z'
'-x+1/2,-y+1/2,z+1/2'
'-x+1/2,y+1/2,z'
'x+1/2,-y+1/2,z+1/2'
loop_
_atom_site_label
_atom_site_fract_x
_atom_site_fract_y
_atom_site_fract_z
_atom_site_occupancy
Sn1 0.0000 0.2378 0.0000 1
Pd1 0.0000 0.1001 0.7151 1
Pd2 0.0000 0.2303 0.3763 1
Pd3 0.1614 0.3964 0.1952 1
Pd4 0.1855 0.2780 0.6934 1
Pb1 0.0000 0.4309 0.5484 1
Pb2 0.1870 0.0572 0.3613 1
# **VASP energy**: -4.853 eV/atom



# SnPd6Pb | Alexandria | PBE | relaxed
data_SnPd6Pb
_space_group_name_H-M_alt 'C 1 2/m 1'
_space_group_IT_number 12
_cell_length_a 7.8897
_cell_length_b 5.5015
_cell_length_c 7.4345
_cell_angle_alpha 90.00
_cell_angle_beta 108.87
_cell_angle_gamma 90.00
loop_
_space_group_symop_operation_xyz
'x,y,z'
'-x,-y,-z'
'-x,y,-z'
'x,-y,z'
'x+1/2,y+1/2,z'
'-x+1/2,-y+1/2,-z'
'-x+1/2,y+1/2,-z'
'x+1/2,-y+1/2,z'
loop_
_atom_site_label
_atom_site_fract_x
_atom_site_fract_y
_atom_site_fract_z
_atom_site_occupancy
Sn1 0.0000 0.0000 0.0000 1
Pd1 0.1464 0.5000 0.9398 1
Pd2 0.1919 0.2580 0.2971 1
Pb1 0.0000 0.5000 0.5000 1
# **Polymorph energy (0 for the lowest one)**: 0.213 eV/atom



# Sn12Pd4Pb | Alexandria | PBE | relaxed
data_Sn12Pd4Pb
_space_group_name_H-M_alt 'I m -3'
_space_group_IT_number 204
_space_group_name_Hall '-I 2 2 3'
_cell_length_a 9.5628
_cell_length_b 9.5628
_cell_length_c 9.5628
_cell_angle_alpha 90.00
_cell_angle_beta 90.00
_cell_angle_gamma 90.00
loop_
_atom_site_label
_atom_site_fract_x
_atom_site_fract_y
_atom_site_fract_z
_atom_site_occupancy
Sn1 0.0000 0.3403 0.1579 1
Pd1 0.2500 0.2500 0.2500 1
Pb1 0.0000 0.0000 0.0000 1
# **VASP energy**: -4.472 eV/atom



# SnPd4Pb | Alexandria | PBE | relaxed
data_SnPd4Pb
_space_group_name_H-M_alt 'P n m a'
_space_group_IT_number 62
_cell_length_a 7.4528
_cell_length_b 3.3407
_cell_length_c 17.5544
_cell_angle_alpha 90.00
_cell_angle_beta 90.00
_cell_angle_gamma 90.00
loop_
_space_group_symop_operation_xyz
'x,y,z'
'-x,-y,-z'
'-x+1/2,-y,z+1/2'
'x+1/2,y,-z+1/2'
'x+1/2,-y+1/2,-z+1/2'
'-x+1/2,y+1/2,z+1/2'
'-x,y+1/2,-z'
'x,-y+1/2,z'
loop_
_atom_site_label
_atom_site_fract_x
_atom_site_fract_y
_atom_site_fract_z
_atom_site_occupancy
Sn1 0.2387 0.2500 0.1925 1
Pd1 0.0328 0.2500 0.0688 1
Pd2 0.0719 0.2500 0.7960 1
Pd3 0.0944 0.2500 0.3288 1
Pd4 0.1422 0.2500 0.5753 1
Pb1 0.2317 0.7500 0.4439 1
# **Polymorph energy (0 for the lowest one)**: 0.000 eV/atom



# SnPd4Pb | Alexandria | PBE | relaxed
data_SnPd4Pb
_space_group_name_H-M_alt 'F -4 3 m'
_space_group_IT_number 216
_space_group_name_Hall 'F -4 2 3'
_cell_length_a 7.6764
_cell_length_b 7.6764
_cell_length_c 7.6764
_cell_angle_alpha 90.00
_cell_angle_beta 90.00
_cell_angle_gamma 90.00
loop_
_atom_site_label
_atom_site_fract_x
_atom_site_fract_y
_atom_site_fract_z
_atom_site_occupancy
Sn1 0.0000 0.0000 0.0000 1
Pd1 0.1252 0.1252 0.3748 1
Pb1 0.2500 0.2500 0.7500 1
# **Polymorph energy (0 for the lowest one)**: 0.209 eV/atom



# SnPd12Pb6 | Alexandria | PBE | relaxed
data_SnPd12Pb6
_space_group_name_H-M_alt 'R -3'
_space_group_IT_number 148
_space_group_name_Hall '-R 3'
_cell_length_a 11.8697
_cell_length_b 11.8697
_cell_length_c 9.4218
_cell_angle_alpha 90.00
_cell_angle_beta 90.00
_cell_angle_gamma 120.00
loop_
_atom_site_label
_atom_site_fract_x
_atom_site_fract_y
_atom_site_fract_z
_atom_site_occupancy
Sn1 0.0000 0.0000 0.0000 1
Pd1 0.0531 0.2273 0.1042 1
Pd2 0.0576 0.2344 0.4184 1
Pb1 0.0546 0.2292 0.7189 1
# **VASP energy**: -4.876 eV/atom



# Sn3Pd7Pb | Alexandria | PBE | relaxed
data_Sn3Pd7Pb
_space_group_name_H-M_alt 'C 1 2/m 1'
_space_group_IT_number 12
_cell_length_a 8.5505
_cell_length_b 9.8101
_cell_length_c 5.5557
_cell_angle_alpha 90.00
_cell_angle_beta 113.93
_cell_angle_gamma 90.00
loop_
_space_group_symop_operation_xyz
'x,y,z'
'-x,-y,-z'
'-x,y,-z'
'x,-y,z'
'x+1/2,y+1/2,z'
'-x+1/2,-y+1/2,-z'
'-x+1/2,y+1/2,-z'
'x+1/2,-y+1/2,z'
loop_
_atom_site_label
_atom_site_fract_x
_atom_site_fract_y
_atom_site_fract_z
_atom_site_occupancy
Sn1 0.0000 0.0000 0.0000 1
Sn2 0.0000 0.2287 0.5000 1
Pd1 0.0000 0.5000 0.5000 1
Pd2 0.1752 0.2327 0.1856 1
Pd3 0.1853 0.0000 0.5384 1
Pb1 0.0000 0.5000 0.0000 1
# **VASP energy**: -5.061 eV/atom



# Sn2Pd5Pb | Alexandria | PBE | relaxed
data_Sn2Pd5Pb
_space_group_name_H-M_alt 'C m c m'
_space_group_IT_number 63
_space_group_name_Hall '-C 2c 2'
_cell_length_a 3.0756
_cell_length_b 15.5145
_cell_length_c 14.1955
_cell_angle_alpha 90.00
_cell_angle_beta 90.00
_cell_angle_gamma 90.00
loop_
_atom_site_label
_atom_site_fract_x
_atom_site_fract_y
_atom_site_fract_z
_atom_site_occupancy
Sn1 0.0000 0.1272 0.0841 1
Pd1 0.0000 0.0435 0.5840 1
Pd2 0.0000 0.2150 0.2500 1
Pd3 0.0000 0.2279 0.5839 1
Pb1 0.0000 0.1257 0.7500 1
# **VASP energy**: -4.902 eV/atom



# Sr2SnPd6Pb | Alexandria | PBE | relaxed
data_Sr2SnPd6Pb
_space_group_name_H-M_alt 'F m -3 m'
_space_group_IT_number 225
_space_group_name_Hall '-F 4 2 3'
_cell_length_a 10.1828
_cell_length_b 10.1828
_cell_length_c 10.1828
_cell_angle_alpha 90.00
_cell_angle_beta 90.00
_cell_angle_gamma 90.00
loop_
_atom_site_label
_atom_site_fract_x
_atom_site_fract_y
_atom_site_fract_z
_atom_site_occupancy
Sr1 0.2500 0.2500 0.2500 1
Sn1 0.0000 0.0000 0.0000 1
Pd1 0.0000 0.0000 0.2461 1
Pb1 0.0000 0.0000 0.5000 1
# **VASP energy**: -4.372 eV/atom



# Sr2SnPd4Pb3 | Alexandria | PBE | relaxed
data_Sr2SnPd4Pb3
_space_group_name_H-M_alt 'P -4 m 2'
_space_group_IT_number 115
_cell_length_a 4.7858
_cell_length_b 4.7858
_cell_length_c 11.0504
_cell_angle_alpha 90.00
_cell_angle_beta 90.00
_cell_angle_gamma 90.00
loop_
_space_group_symop_operation_xyz
'x,y,z'
'y,-x,-z'
'-x,-y,z'
'-y,x,-z'
'-x,y,z'
'-y,-x,-z'
'x,-y,z'
'y,x,-z'
loop_
_atom_site_label
_atom_site_fract_x
_atom_site_fract_y
_atom_site_fract_z
_atom_site_occupancy
Sr1 0.0000 0.5000 0.2442 1
Sn1 0.0000 0.0000 0.5000 1
Pd1 0.0000 0.0000 0.0000 1
Pd2 0.0000 0.5000 0.6290 1
Pd3 0.5000 0.5000 0.0000 1
Pb1 0.0000 0.5000 0.8768 1
Pb2 0.5000 0.5000 0.5000 1
# **VASP energy**: -4.453 eV/atom



# SrSnPd2Pb | Alexandria | PBE | relaxed
data_SrSnPd2Pb
_space_group_name_H-M_alt 'P 4/m m m'
_space_group_IT_number 123
_space_group_name_Hall '-P 4 2'
_cell_length_a 5.0527
_cell_length_b 5.0527
_cell_length_c 5.9876
_cell_angle_alpha 90.00
_cell_angle_beta 90.00
_cell_angle_gamma 90.00
loop_
_atom_site_label
_atom_site_fract_x
_atom_site_fract_y
_atom_site_fract_z
_atom_site_occupancy
Sr1 0.0000 0.0000 0.0000 1
Sn1 0.0000 0.0000 0.5000 1
Pd1 0.0000 0.5000 0.5000 1
Pb1 0.5000 0.5000 0.0000 1
# **VASP energy**: -3.813 eV/atom



# Sr2Sn3Pd4Pb | Alexandria | PBE | relaxed
data_Sr2Sn3Pd4Pb
_space_group_name_H-M_alt 'P -4 m 2'
_space_group_IT_number 115
_cell_length_a 4.7123
_cell_length_b 4.7123
_cell_length_c 10.9591
_cell_angle_alpha 90.00
_cell_angle_beta 90.00
_cell_angle_gamma 90.00
loop_
_space_group_symop_operation_xyz
'x,y,z'
'y,-x,-z'
'-x,-y,z'
'-y,x,-z'
'-x,y,z'
'-y,-x,-z'
'x,-y,z'
'y,x,-z'
loop_
_atom_site_label
_atom_site_fract_x
_atom_site_fract_y
_atom_site_fract_z
_atom_site_occupancy
Sr1 0.0000 0.5000 0.2420 1
Sn1 0.0000 0.5000 0.8825 1
Sn2 0.5000 0.5000 0.5000 1
Pd1 0.0000 0.0000 0.0000 1
Pd2 0.0000 0.5000 0.6399 1
Pd3 0.5000 0.5000 0.0000 1
Pb1 0.0000 0.0000 0.5000 1
# **VASP energy**: -4.647 eV/atom



# SrSnPd3Pb | Alexandria | PBE | relaxed
data_SrSnPd3Pb
_space_group_name_H-M_alt 'C m c m'
_space_group_IT_number 63
_space_group_name_Hall '-C 2c 2'
_cell_length_a 5.8627
_cell_length_b 17.8997
_cell_length_c 5.8603
_cell_angle_alpha 90.00
_cell_angle_beta 90.00
_cell_angle_gamma 90.00
loop_
_atom_site_label
_atom_site_fract_x
_atom_site_fract_y
_atom_site_fract_z
_atom_site_occupancy
Sr1 0.0000 0.2150 0.2500 1
Sn1 0.0000 0.0977 0.7500 1
Pd1 0.0000 0.2445 0.7500 1
Pd2 0.2468 0.0000 0.0000 1
Pb1 0.0000 0.3971 0.7500 1
# **VASP energy**: -4.560 eV/atom



# Y2SnPdPb | Alexandria | PBE | relaxed
data_Y2SnPdPb
_space_group_name_H-M_alt 'P 4/m m m'
_space_group_IT_number 123
_space_group_name_Hall '-P 4 2'
_cell_length_a 5.6946
_cell_length_b 5.6946
_cell_length_c 4.9439
_cell_angle_alpha 90.00
_cell_angle_beta 90.00
_cell_angle_gamma 90.00
loop_
_atom_site_label
_atom_site_fract_x
_atom_site_fract_y
_atom_site_fract_z
_atom_site_occupancy
Y1 0.0000 0.5000 0.0000 1
Sn1 0.0000 0.0000 0.0000 1
Pd1 0.0000 0.0000 0.5000 1
Pb1 0.5000 0.5000 0.5000 1
# **VASP energy**: -5.163 eV/atom



Magnetic moment / μB per formula unit: 0.0 0.0 0.0 0.0 0.0 0.0 0.0 0.0 0.0 0.0 0.0 0.0 0.0 0.0 0.0 0.0 0.0 0.0 0.0 0.0